1.
Entry from the Alexandria database: a relaxed structure of InAg2W (GGA-PBE).

Geometry as POSCAR:
```
InAg2W
1.0
-2.5616 1.1863 -3.7699
-1.1823 -3.2767 -3.1697
-4.4736 -1.4300 -0.3521
In Ag W
1 2 1
Cartesian
-4.1088 -1.7602 -3.6459 In
-6.1631 -2.6403 -5.4688 Ag
0.0000 0.0000 0.0000 Ag
-2.0544 -0.8801 -1.8229 W
```

Computed properties:
Energy of formation ... 3.0 eV per formula unit
Total moment ... 1.85 μB/f.u.
ρ ... 11.56 g/cm³
Space-group type ... F-43m (216)
V ... 18.47 Å³ per atom

---

2.
Entry from the Alexandria database: a relaxed structure of InAg2W (GGA-PBE).

Geometry as POSCAR:
```
InAg2W
1.0
-4.8443 -2.0158 1.2079
3.6873 -3.5677 -1.6325
0.8143 -0.3702 2.6482
Ag W In
2 1 1
Cartesian
-0.5785 -2.7918 -0.2123 Ag
0.0000 0.0000 0.0000 Ag
2.2508 -1.9689 0.5079 W
-2.0150 -1.1930 1.9281 In
```

Computed properties:
Energy of formation ... 2.2 eV per formula unit
Total moment ... 0.00 μB/f.u.
ρ ... 11.71 g/cm³
Space-group type ... Cmmm (65)
V ... 18.23 Å³ per atom

---

3.
Entry from the Alexandria database: a relaxed structure of InAg2W (GGA-PBE).

Geometry as POSCAR:
```
InAg2W
1.0
5.2795 0.0247 0.0000
2.1110 4.8391 0.0000
-3.6952 -2.4319 2.8818
Ag W In
2 1 1
Cartesian
0.0000 0.0000 0.0000 Ag
3.6952 2.4319 0.0000 Ag
2.6397 0.0123 1.4409 W
1.0555 2.4196 1.4409 In
```

Computed properties:
Energy of formation ... 2.9 eV per formula unit
Total moment ... 0.80 μB/f.u.
ρ ... 11.63 g/cm³
Space-group type ... I4/mmm (139)
V ... 18.37 Å³ per atom

---

4.
Entry from the Alexandria database: a relaxed structure of InAg2W (GGA-PBE).

Geometry as POSCAR:
```
InAg2W
1.0
4.8789 -0.0299 0.0000
0.8352 4.8070 0.0000
-2.8571 -2.3886 3.1523
Ag In W
2 1 1
Cartesian
0.0000 0.0000 0.0000 Ag
0.4176 2.4035 1.5761 Ag
2.8571 2.3886 0.0000 In
2.4395 -0.0149 1.5761 W
```

Computed properties:
Energy of formation ... 3.0 eV per formula unit
Total moment ... 2.01 μB/f.u.
ρ ... 11.54 g/cm³
Space-group type ... I-4m2 (119)
V ... 18.50 Å³ per atom

---

5.
Entry from the Alexandria database: a relaxed structure of InAg2W (GGA-PBE).

Geometry as POSCAR:
```
InAg2W
1.0
-0.1967 2.8253 -0.4111
-0.5887 0.3805 2.7746
8.6414 0.8514 1.7166
W In Ag
1 1 2
Cartesian
6.1483 2.2473 2.4811 W
4.3747 0.4310 0.8690 In
8.5907 0.8464 1.7065 Ag
1.7044 1.8095 1.5984 Ag
```

Computed properties:
Energy of formation ... 1.6 eV per formula unit
Total moment ... 0.00 μB/f.u.
ρ ... 11.78 g/cm³
Space-group type ... Cmm2 (35)
V ... 18.12 Å³ per atom

---

6.
Entry from the Alexandria database: a relaxed structure of InAg2W (GGA-PBE).

Geometry as POSCAR:
```
InAg2W
1.0
10.0367 0.0685 -0.0512
9.6355 2.8101 -0.0512
9.6139 1.4067 2.6346
In W Ag
1 1 2
Cartesian
7.3215 1.0713 0.6330 In
21.9646 3.2139 1.8991 W
19.7599 2.8913 0.0187 Ag
14.5554 2.1298 1.1449 Ag
```

Computed properties:
Energy of formation ... 1.9 eV per formula unit
Total moment ... 0.00 μB/f.u.
ρ ... 11.55 g/cm³
Space-group type ... C2/m (12)
V ... 18.49 Å³ per atom

---

Question: ρ of number 3 (InAg2W)?
Answer: 11.63 g/cm³

---

Question: What is the formula in the fourth record?
Answer: InAg2W

---

Question: Among the records above, which one has the lowest energy of formation?
Answer: number 5